{"formula": "TbGdFe2Pb", "functional": "PBE", "state": "relaxed", "total_energy_ev_per_atom": -6.111, "crystal_system": "orthorhombic", "vol_a3_per_fu": 108.2, "lattice_angstrom": [[-3.387, 1.507, 1.027], [-2.398, -6.747, 1.990], [-0.750, -5.242, 5.215]], "species": ["Fe", "Fe", "Gd", "Pb", "Tb"], "fractional_positions": [[0.500, 0.206, 0.206], [0.500, 0.794, 0.794], [0.000, 0.362, 0.362], [0.500, 0.000, 0.000], [0.000, 0.638, 0.638]]}